A relaxed RbSiAg2Se4 crystal, computed with PBE-GGA.

Cell and atoms, written as POSCAR:
```
RbSiAg2Se4
1.0
-3.533 3.538 4.337
3.533 -3.538 4.337
3.533 3.538 -4.337
Rb Si Ag Se
1 1 2 4
Cartesian
0.000 0.000 0.000 Rb
0.000 0.000 4.337 Si
3.533 0.000 2.193 Ag
0.000 3.538 2.144 Ag
2.193 2.195 -1.292 Se
4.873 2.195 1.292 Se
1.340 1.343 3.045 Se
-1.340 1.343 5.629 Se
```

Values from the calculation:
density of states at the Fermi level	3.47	states/eV/cell
energy relative to the elements, uncorrected	-0.473	eV/atom
E	-29.82	eV/f.u.